Below is an optimized crystal structure of Pm5Pb4, with properties calculated at the PBE level.

a b c (Å): 8.3125 8.3125 8.3125
angles (deg): 150.10 93.85 93.79
Closest atoms and distances in Å follow each position.
Atoms (fractional coordinates):
Pm: 0.0000 0.0000 0.0000  8 Pb 3.53, 4 Pm 3.58-3.59
Pm: 0.3154 0.3154 0.0000  6 Pb 3.33-3.69, 5 Pm 3.58-3.65
Pm: 0.3163 0.0000 0.3163  6 Pb 3.33-3.70, 5 Pm 3.59-3.65
Pm: 0.6837 0.0000 0.6837  6 Pb 3.33-3.70, 5 Pm 3.59-3.65
Pm: 0.6846 0.6846 0.0000  6 Pb 3.33-3.69, 5 Pm 3.58-3.65
Pb: 0.0007 0.3255 0.6752  2 Pb 3.23, 6 Pm 3.33-3.53
Pb: 0.3498 0.6745 0.6752  2 Pb 3.23, 6 Pm 3.33-3.53
Pb: 0.6502 0.3255 0.3248  2 Pb 3.23, 6 Pm 3.33-3.53
Pb: 0.9993 0.6745 0.3248  2 Pb 3.23, 6 Pm 3.33-3.53

N(E_F) = 10.76 states/eV/cell
DFT formation energy = -0.4031 eV per atom
Total energy = -42.215 eV/cell
Symmetry = Immm (71)